# 1
The following is a DFT calculation (GGA-PBE) of crystalline La4Tb3Pr2 at its relaxed geometry.

The formation energy comes out at 0.024 eV/atom. The calculated total energy comes out at -85.88 eV/cell. Its relative energy among the computed polymorphs is 0 meV per atom. The value obtained for the density of states at the Fermi level is 1.838 states/eV/atom.

It has space group C2/m (No. 12), with a = 11.6114 Å, b = 5.2156 Å, c = 11.0334 Å, α = 90.00°, β = 108.12° and γ = 90.00°. The asymmetric unit holds La at (0.0009, 0.0000, 0.3338), La at (0.1665, 0.5000, 0.8887), Tb at (0.0000, 0.0000, 0.0000), Tb at (0.1648, 0.5000, 0.5522) and Pr at (0.1687, 0.5000, 0.2249).


# 2
The following is a DFT calculation (GGA-PBE) of crystalline La3Tb2Pr2 at its relaxed geometry.

The formation energy comes out at 0.020 eV/atom. The calculated total energy comes out at -33.46 eV/cell. Its relative energy among the computed polymorphs is 0 meV per atom. The value obtained for the density of states at the Fermi level is 1.644 states/eV/atom.

It has space group P-1 (No. 2), with a = 3.6881 Å, b = 6.3795 Å, c = 11.0311 Å, α = 84.17°, β = 89.94° and γ = 73.22°. The asymmetric unit holds La at (0.0000, 0.0000, 0.0000), La at (0.1447, 0.7128, 0.5707), Tb at (0.4288, 0.1428, 0.7141) and Pr at (0.2853, 0.4303, 0.1439).


# 3
The following is a DFT calculation (GGA-PBE) of crystalline La2Tb3Pr6 at its relaxed geometry.

The formation energy comes out at 0.433 eV/atom. The calculated total energy comes out at -95.32 eV/cell. Its relative energy among the computed polymorphs is 273 meV per atom. The value obtained for the density of states at the Fermi level is 1.386 states/eV/atom.

It has space group I4/mmm (No. 139), with a = 5.8019 Å, b = 5.8019 Å, c = 24.7389 Å, α = 90.00°, β = 90.00° and γ = 90.00°. The asymmetric unit holds La at (0.0000, 0.0000, 0.0592), Tb at (0.0000, 0.0000, 0.3406), Tb at (0.0000, 0.0000, 0.5000), Pr at (0.0000, 0.0000, 0.2028) and Pr at (0.0000, 0.5000, 0.0968).


# 4
The following is a DFT calculation (GGA-PBE) of crystalline LaTb3Pr at its relaxed geometry.

The formation energy comes out at 0.384 eV/atom. The calculated total energy comes out at -21.68 eV/cell. Its relative energy among the computed polymorphs is 368 meV per atom. The value obtained for the density of states at the Fermi level is 1.864 states/eV/atom.

It has space group Pm (No. 6), with a = 6.1529 Å, b = 5.7040 Å, c = 6.1632 Å, α = 90.00°, β = 119.91° and γ = 90.00°. The asymmetric unit holds La at (0.0000, 0.0000, 0.0000), Tb at (0.3405, 0.5000, 0.3309), Tb at (0.6664, 0.5000, 0.0083), Tb at (0.9891, 0.5000, 0.6571) and Pr at (0.3328, 0.0000, 0.6649).


# 5
The following is a DFT calculation (GGA-PBE) of crystalline LaTb7Pr12 at its relaxed geometry.

The formation energy comes out at 0.240 eV/atom. The calculated total energy comes out at -269.66 eV/cell. Its relative energy among the computed polymorphs is 36 meV per atom. The value obtained for the density of states at the Fermi level is 1.445 states/eV/atom.

It has space group R-3 (No. 148, hexagonal axes), with a = 19.8102 Å, b = 19.8102 Å, c = 6.2941 Å, α = 90.00°, β = 90.00° and γ = 120.00°. The asymmetric unit holds La at (0.0000, 0.0000, 0.0000), Tb at (0.0000, 0.0000, 0.5000), Tb at (0.0817, 0.9174, 0.7925), Pr at (0.0002, 0.4119, 0.5005) and Pr at (0.0966, 0.5487, 0.9704).


# 6
The following is a DFT calculation (GGA-PBE) of crystalline La12Tb5Pr2 at its relaxed geometry.

The formation energy comes out at 0.097 eV/atom. The calculated total energy comes out at -180.01 eV/cell. Its relative energy among the computed polymorphs is 12 meV per atom. The value obtained for the density of states at the Fermi level is 1.525 states/eV/atom.

It has space group C2/m (No. 12), with a = 13.3198 Å, b = 11.8317 Å, c = 9.6008 Å, α = 90.00°, β = 116.56° and γ = 90.00°. The asymmetric unit holds La at (0.0736, 0.0000, 0.2785), La at (0.1077, 0.2195, 0.9206), La at (0.1182, 0.5000, 0.4453), La at (0.1928, 0.2572, 0.3022), Tb at (0.0000, 0.5000, 0.0000), Tb at (0.1903, 0.0000, 0.7333), Tb at (0.1938, 0.5000, 0.8387) and Pr at (0.0000, 0.2276, 0.5000).


# 7
The following is a DFT calculation (GGA-PBE) of crystalline LaTb5Pr3 at its relaxed geometry.

The formation energy comes out at 0.412 eV/atom. The calculated total energy comes out at -154.85 eV/cell. The value obtained for the density of states at the Fermi level is 1.257 states/eV/atom.

It has space group C2/m (No. 12), with a = 16.4727 Å, b = 8.7475 Å, c = 12.2528 Å, α = 90.00°, β = 130.06° and γ = 90.00°. The asymmetric unit holds La at (0.1440, 0.0000, 0.3572), Tb at (0.0000, 0.3181, 0.0000), Tb at (0.0563, 0.5000, 0.4042), Tb at (0.1099, 0.1817, 0.8263), Tb at (0.1542, 0.5000, 0.9759), Pr at (0.0000, 0.0000, 0.0000), Pr at (0.0000, 0.0000, 0.5000), Pr at (0.2224, 0.5000, 0.2957) and Pr at (0.2441, 0.5000, 0.8093).


# 8
The following is a DFT calculation (GGA-PBE) of crystalline La10Tb4Pr at its relaxed geometry.

The formation energy comes out at 0.203 eV/atom. The calculated total energy comes out at -139.07 eV/cell. The value obtained for the density of states at the Fermi level is 1.545 states/eV/atom.

It has space group I4/mmm (No. 139), with a = 11.6033 Å, b = 11.6033 Å, c = 8.0048 Å, α = 90.00°, β = 90.00° and γ = 90.00°. The asymmetric unit holds La at (0.0000, 0.2179, 0.2079), La at (0.0000, 0.5000, 0.2500), Tb at (0.2280, 0.2280, 0.5000) and Pr at (0.0000, 0.0000, 0.5000).


# 9
The following is a DFT calculation (GGA-PBE) of crystalline La2Tb6Pr3 at its relaxed geometry.

The formation energy comes out at 0.181 eV/atom. The calculated total energy comes out at -99.96 eV/cell. Its relative energy among the computed polymorphs is 0 meV per atom. The value obtained for the density of states at the Fermi level is 1.443 states/eV/atom.

It has space group C2/m (No. 12), with a = 6.2406 Å, b = 10.8357 Å, c = 11.8692 Å, α = 90.00°, β = 100.16° and γ = 90.00°. The asymmetric unit holds La at (0.0000, 0.1669, 0.0000), Tb at (0.2494, 0.5000, 0.7489), Tb at (0.2497, 0.1665, 0.7494), Pr at (0.0000, 0.0000, 0.5000) and Pr at (0.0000, 0.3358, 0.5000).


# 10
The following is a DFT calculation (GGA-PBE) of crystalline La6TbPr12 at its relaxed geometry.

The formation energy comes out at 0.108 eV/atom. The calculated total energy comes out at -268.47 eV/cell. Its relative energy among the computed polymorphs is 0 meV per atom. The value obtained for the density of states at the Fermi level is 1.574 states/eV/atom.

It has space group R-3 (No. 148, hexagonal axes), with a = 12.4931 Å, b = 12.4931 Å, c = 15.4427 Å, α = 90.00°, β = 90.00° and γ = 120.00°. The asymmetric unit holds La at (0.0137, 0.4220, 0.1868), Tb at (0.0000, 0.0000, 0.5000), Pr at (0.0051, 0.1732, 0.3109) and Pr at (0.0510, 0.8528, 0.9166).


# 11
The following is a DFT calculation (GGA-PBE) of crystalline La5Tb12Pr2 at its relaxed geometry.

The formation energy comes out at 0.102 eV/atom. The calculated total energy comes out at -175.65 eV/cell. The value obtained for the density of states at the Fermi level is 1.476 states/eV/atom.

It has space group C2/m (No. 12), with a = 12.4648 Å, b = 7.2179 Å, c = 15.2214 Å, α = 90.00°, β = 108.24° and γ = 90.00°. The asymmetric unit holds La at (0.0000, 0.0000, 0.0000), La at (0.0991, 0.5000, 0.0978), La at (0.2490, 0.5000, 0.4987), Tb at (0.0862, 0.2462, 0.2878), Tb at (0.1580, 0.5000, 0.6957), Tb at (0.1587, 0.0000, 0.6987), Tb at (0.1705, 0.2611, 0.8924) and Pr at (0.0000, 0.2508, 0.5000).


# 12
The following is a DFT calculation (GGA-PBE) of crystalline LaTb3Pr6 at its relaxed geometry.

The formation energy comes out at 0.132 eV/atom. The calculated total energy comes out at -184.69 eV/cell. Its relative energy among the computed polymorphs is 0 meV per atom. The value obtained for the density of states at the Fermi level is 1.410 states/eV/atom.

It has space group Cmc2_1 (No. 36), with a = 11.1530 Å, b = 19.4456 Å, c = 6.4483 Å, α = 90.00°, β = 90.00° and γ = 90.00°. The asymmetric unit holds La at (0.0000, 0.1887, 0.0000), Tb at (0.0000, 0.3822, 0.0039), Tb at (0.1760, 0.1164, 0.6354), Pr at (0.0000, 0.0358, 0.2339), Pr at (0.0000, 0.2826, 0.4513), Pr at (0.1676, 0.4605, 0.5456) and Pr at (0.2367, 0.2916, 0.7215).


# 13
The following is a DFT calculation (GGA-PBE) of crystalline La6Tb12Pr at its relaxed geometry.

The formation energy comes out at 0.164 eV/atom. The calculated total energy comes out at -260.35 eV/cell. Its relative energy among the computed polymorphs is 0 meV per atom. The value obtained for the density of states at the Fermi level is 1.851 states/eV/atom.

It has space group R-3 (No. 148, hexagonal axes), with a = 12.4155 Å, b = 12.4155 Å, c = 14.6846 Å, α = 90.00°, β = 90.00° and γ = 120.00°. The asymmetric unit holds La at (0.0238, 0.5829, 0.2198), Tb at (0.0527, 0.8700, 0.3041), Tb at (0.0660, 0.1949, 0.9047) and Pr at (0.0000, 0.0000, 0.5000).


# 14
The following is a DFT calculation (GGA-PBE) of crystalline LaTb2Pr2 at its relaxed geometry.

The formation energy comes out at 0.128 eV/atom. The calculated total energy comes out at -92.44 eV/cell. Its relative energy among the computed polymorphs is 28 meV per atom. The value obtained for the density of states at the Fermi level is 1.621 states/eV/atom.

It has space group Imma (No. 74), with a = 5.9171 Å, b = 7.1772 Å, c = 16.6263 Å, α = 90.00°, β = 90.00° and γ = 90.00°. The asymmetric unit holds La at (0.0000, 0.2500, 0.1089), Tb at (0.0000, 0.2500, 0.5006), Tb at (0.0000, 0.2500, 0.8858) and Pr at (0.0000, 0.0024, 0.6914).


# 15
The following is a DFT calculation (GGA-PBE) of crystalline LaTbPr2 at its relaxed geometry.

The formation energy comes out at 0.109 eV/atom. The calculated total energy comes out at -18.68 eV/cell. Its relative energy among the computed polymorphs is 96 meV per atom. The value obtained for the density of states at the Fermi level is 2.392 states/eV/atom.

It has space group P4/mmm (No. 123), with a = 4.3406 Å, b = 4.3406 Å, c = 7.5114 Å, α = 90.00°, β = 90.00° and γ = 90.00°. The asymmetric unit holds La at (0.0000, 0.0000, 0.0000), Tb at (0.0000, 0.0000, 0.5000) and Pr at (0.5000, 0.5000, 0.2589).


# 16
The following is a DFT calculation (GGA-PBE) of crystalline La2Tb2Pr15 at its relaxed geometry.

The formation energy comes out at 0.229 eV/atom. The calculated total energy comes out at -259.36 eV/cell. The value obtained for the density of states at the Fermi level is 1.697 states/eV/atom.

It has space group R-3m (No. 166, hexagonal axes), with a = 11.5579 Å, b = 11.5579 Å, c = 18.3225 Å, α = 90.00°, β = 90.00° and γ = 120.00°. The asymmetric unit holds La at (0.0000, 0.0000, 0.1791), Tb at (0.0000, 0.0000, 0.4077), Pr at (0.0000, 0.2943, 0.5000), Pr at (0.0000, 0.5000, 0.0000) and Pr at (0.0152, 0.5076, 0.6363).


# 17
The following is a DFT calculation (GGA-PBE) of crystalline La7Tb2Pr2 at its relaxed geometry.

The formation energy comes out at 0.110 eV/atom. The calculated total energy comes out at -104.20 eV/cell. The value obtained for the density of states at the Fermi level is 1.580 states/eV/atom.

It has space group C2/m (No. 12), with a = 11.6642 Å, b = 11.6801 Å, c = 6.2645 Å, α = 90.00°, β = 111.52° and γ = 90.00°. The asymmetric unit holds La at (0.0000, 0.0000, 0.0000), La at (0.0760, 0.5000, 0.8029), La at (0.1845, 0.2313, 0.1797), Tb at (0.0000, 0.2148, 0.5000) and Pr at (0.2275, 0.0000, 0.5937).


# 18
The following is a DFT calculation (GGA-PBE) of crystalline La5TbPr4 at its relaxed geometry.

The formation energy comes out at 0.351 eV/atom. The calculated total energy comes out at -89.75 eV/cell. Its relative energy among the computed polymorphs is 237 meV per atom. The value obtained for the density of states at the Fermi level is 1.718 states/eV/atom.

It has space group Pmmn (No. 59, origin choice 2), with a = 6.6404 Å, b = 9.6223 Å, c = 11.5087 Å, α = 90.00°, β = 90.00° and γ = 90.00°. The asymmetric unit holds La at (0.0155, 0.0820, 0.1486), La at (0.2500, 0.7500, 0.3649), Tb at (0.2500, 0.2500, 0.4076), Pr at (0.0107, 0.2500, 0.8837) and Pr at (0.2500, 0.5304, 0.5959).


# 19
The following is a DFT calculation (GGA-PBE) of crystalline La3TbPr4 at its relaxed geometry.

The formation energy comes out at 0.010 eV/atom. The calculated total energy comes out at -76.90 eV/cell. Its relative energy among the computed polymorphs is 0 meV per atom. The value obtained for the density of states at the Fermi level is 1.540 states/eV/atom.

It has space group Pmn2_1 (No. 31), with a = 10.5036 Å, b = 7.3827 Å, c = 7.4004 Å, α = 90.00°, β = 90.00° and γ = 90.00°. The asymmetric unit holds La at (0.0000, 0.2490, 0.0000), La at (0.2501, 0.5001, 0.2491), Tb at (0.0000, 0.7509, 0.9986), Pr at (0.0000, 0.2492, 0.4996), Pr at (0.0000, 0.7504, 0.4983) and Pr at (0.2501, 0.0000, 0.2491).